*a*
DFT (GGA-PBE) results for HfTlAgSe2S after structural relaxation.

Cell and atoms, written as POSCAR:
```
HfTlAgSe2S
1.0
1.9573 -7.3222 0.0000
1.9573 7.3222 0.0000
0.0000 0.0000 10.2449
Hf Tl Ag Se S
2 2 2 4 2
Direct
0.0000 0.0000 0.0000 Hf
0.0000 0.0000 0.5000 Hf
0.2580 0.7420 0.7500 Tl
0.7420 0.2580 0.2500 Tl
0.4476 0.5524 0.2500 Ag
0.5524 0.4476 0.7500 Ag
0.3713 0.6287 0.0244 Se
0.3713 0.6287 0.4756 Se
0.6287 0.3713 0.5244 Se
0.6287 0.3713 0.9756 Se
0.0576 0.9424 0.2500 S
0.9424 0.0576 0.7500 S
```

=====

*b*
DFT (GGA-PBE) results for HfTlAgSe2S after structural relaxation.

Cell and atoms, written as POSCAR:
```
HfTlAgSe2S
1.0
8.2003 0.0000 0.0000
0.0000 3.8750 0.0000
-3.5117 0.0000 9.4451
Hf Tl Ag Se S
2 2 2 4 2
Direct
0.1812 0.2500 0.1501 Hf
0.8188 0.7500 0.8499 Hf
0.2347 0.7500 0.7024 Tl
0.7653 0.2500 0.2976 Tl
0.4358 0.7500 0.3893 Ag
0.5642 0.2500 0.6107 Ag
0.2195 0.2500 0.4245 Se
0.4011 0.7500 0.1234 Se
0.5989 0.2500 0.8766 Se
0.7805 0.7500 0.5755 Se
0.0394 0.2500 0.8763 S
0.9606 0.7500 0.1237 S
```

=====

Quick one: least stable of them? *a*